Record 1
Computed, not measured: a relaxed LiRu2Rh crystal at the GGA-PBE level of DFT.

Cell lengths 2.722, 3.768, 5.254 Å; angles 90.00, 90.00, 90.00 degrees
Fractional positions:
Rh 0.500 0.500 0.730
Li 0.000 0.000 0.511
Ru 0.000 0.000 0.014
Ru 0.500 0.500 0.245

Properties
ΔE to the lowest computed polymorph in eV per atom: 0.000
DFT formation energy in eV/atom: 0.09
Energy in eV/atom: -6.8627


Record 2
Computed, not measured: a relaxed LiRu2Rh crystal at the GGA-PBE level of DFT.

Cell lengths 4.934, 4.934, 4.934 Å; angles 146.20, 127.41, 64.00 degrees
Fractional positions:
Li 0.499 0.499 0.000
Rh 0.267 0.767 0.500
Ru 0.997 0.997 0.000
Ru 0.738 0.238 0.500

Properties
ΔE to the lowest computed polymorph in eV per atom: 0.081
DFT formation energy in eV/atom: 0.17
Energy in eV/atom: -6.7820


Record 3
Computed, not measured: a relaxed Li3RuRh crystal at the GGA-PBE level of DFT.

Cell lengths 4.324, 4.324, 4.324 Å; angles 90.00, 90.00, 90.00 degrees
Each line ends with the local moment (μB).
Fractional positions:
Rh 0.000 0.000 0.000  0.27
Li 0.500 0.000 0.000  -0.02
Ru 0.500 0.500 0.500  2.02
Li 0.000 0.000 0.500  -0.01
Li 0.000 0.500 0.000  -0.01

Properties
ΔE to the lowest computed polymorph in eV per atom: 0.000
DFT formation energy in eV/atom: 0.92
Energy in eV/atom: -3.5534


Q: Among the records above, which one has the lowest energy?
A: number 1